Entry 1:
Compound: LaNiTe2
Source: the Alexandria database
Functional: PBE
Structure: relaxed

a b c (Å): 4.1965 3.9090 6.7701
angles (deg): 90.00 98.54 90.00
With the nearest neighbours (Å) after each atom.
Space group P2/m (No. 10)
Inequivalent atoms, fractional coordinates:
1 La 0.0000 0.0000 0.0000  8 Te 3.33-3.39, 2 Ni 3.71
2 Ni 0.5000 0.0000 0.5000  4 Te 2.56
3 Te 0.4493 0.5000 0.7385  2 Ni 2.56

Computed properties:
Uncorrected formation energy, eV per atom: -0.75
Total magnetic moment, μB per formula unit: 0.000
Volume, Å³ per atom: 27.5
Mass density, g/cm3: 6.8

---

Entry 2:
Compound: Tm5Si6Sn
Source: the Alexandria database
Functional: PBE
Structure: relaxed

a b c (Å): 7.3055 14.2546 5.5248
angles (deg): 90.00 115.63 90.00
With the nearest neighbours (Å) after each atom.
Space group C2/m (No. 12)
Inequivalent atoms, fractional coordinates:
1 Tm 0.0000 0.0000 0.0000  8 Si 2.92-3.07
2 Tm 0.0000 0.1895 0.5000  8 Si 2.88-3.08
3 Tm 0.0000 0.3839 0.0000  6 Si 2.89-2.95, 2 Sn 3.22
4 Si 0.1763 0.0000 0.6162  1 Si 2.33
5 Si 0.1823 0.1951 0.1166  2 Si 2.41-2.49
6 Sn 0.0000 0.5000 0.5000  2 Si 2.71

Computed properties:
Uncorrected formation energy, eV per atom: -0.56
Total magnetic moment, μB per formula unit: 0.000
Volume, Å³ per atom: 21.6
Mass density, g/cm3: 7.2

---

Entry 3:
Compound: Mn2CdNi2
Source: the Alexandria database
Functional: PBE
Structure: relaxed

a b c (Å): 3.2658 3.2658 12.4484
angles (deg): 90.00 90.00 90.00
With the nearest neighbours (Å) after each atom.
Space group I4/mmm (No. 139)
Inequivalent atoms, fractional coordinates:
1 Mn 0.0000 0.5000 0.2500  4 Mn 2.31, 4 Ni 2.44
2 Cd 0.0000 0.0000 0.0000  8 Ni 2.65
3 Ni 0.0000 0.0000 0.3952  4 Mn 2.44, 1 Ni 2.61, 4 Cd 2.65

Computed properties:
Energy relative to the elements, eV/atom: 0.3740
Total magnetic moment, μB per formula unit: 0.000
Volume, Å³ per atom: 13.3
Mass density, g/cm3: 8.5

---

Please write out number 3 again, unchanged.
Compound: Mn2CdNi2
Source: the Alexandria database
Functional: PBE
Structure: relaxed

a b c (Å): 3.2658 3.2658 12.4484
angles (deg): 90.00 90.00 90.00
With the nearest neighbours (Å) after each atom.
Space group I4/mmm (No. 139)
Inequivalent atoms, fractional coordinates:
1 Mn 0.0000 0.5000 0.2500  4 Mn 2.31, 4 Ni 2.44
2 Cd 0.0000 0.0000 0.0000  8 Ni 2.65
3 Ni 0.0000 0.0000 0.3952  4 Mn 2.44, 1 Ni 2.61, 4 Cd 2.65

Computed properties:
Energy relative to the elements, eV/atom: 0.3740
Total magnetic moment, μB per formula unit: 0.000
Volume, Å³ per atom: 13.3
Mass density, g/cm3: 8.5

---

> Which of these has the highest mass density?

Mn2CdNi2